Compound: Mg2ZrMo
Source: the Alexandria database
Functional: GGA-PBE
Structure: optimized geometry

abc: 2.822 2.822 9.994
angles: 90.00 90.00 102.76
Positions (direct):
1 Mg 0.000 0.000 0.228
2 Mg 0.000 0.000 0.772
3 Zr 0.500 0.500 0.500
4 Mo 0.500 0.500 0.000

Results
Calculated volume (Å³/atom): 19.410
ΔH_f (0 K) (eV/atom): 0.232
Excess energy over the best structure of this formula in the dataset (meV per atom): 88.3



Compound: Mg6ZrMo
Source: the Alexandria database
Functional: GGA-PBE
Structure: optimized geometry

abc: 5.048 6.362 6.362
angles: 54.39 90.00 90.00
Positions (direct):
1 Mg 0.000 0.000 0.000
2 Mg 0.000 0.014 0.499
3 Mg 0.000 0.483 0.483
4 Mg 0.000 0.499 0.014
5 Mg 0.500 0.347 0.848
6 Mg 0.500 0.848 0.347
7 Zr 0.500 0.848 0.848
8 Mo 0.500 0.343 0.343

Results
Calculated volume (Å³/atom): 20.768
ΔH_f (0 K) (eV/atom): 0.212
Excess energy over the best structure of this formula in the dataset (meV per atom): 56.2



Compound: Mg2N
Source: the Alexandria database
Functional: GGA-PBE
Structure: optimized geometry

abc: 3.172 3.172 4.204
angles: 90.00 90.00 90.00
Positions (direct):
1 Mg 0.000 0.000 0.000
2 Mg 0.500 0.500 0.500
3 N 0.000 0.000 0.500

Results
Calculated volume (Å³/atom): 14.097
Excess energy over the best structure of this formula in the dataset (meV per atom): 190.0
ΔE_f (raw) (eV per atom): -0.336



Compound: MgN
Source: the Alexandria database
Functional: GGA-PBE
Structure: optimized geometry

abc: 5.286 5.286 3.639
angles: 90.00 90.00 90.00
Positions (direct):
1 Mg 0.242 0.242 0.000
2 Mg 0.258 0.742 0.500
3 Mg 0.742 0.258 0.500
4 Mg 0.758 0.758 0.000
5 N 0.111 0.111 0.500
6 N 0.389 0.611 0.000
7 N 0.611 0.389 0.000
8 N 0.889 0.889 0.500

Results
Calculated volume (Å³/atom): 12.709
ΔE_f (raw) (eV per atom): -0.229



Compound: MgN
Source: the Alexandria database
Functional: GGA-PBE
Structure: optimized geometry

abc: 6.615 6.615 6.615
angles: 27.61 27.61 27.61
Positions (direct):
1 Mg 0.000 0.000 0.000
2 Mg 0.196 0.196 0.196
3 N 0.731 0.731 0.731
4 N 0.798 0.798 0.798

Results
Calculated volume (Å³/atom): 13.718
ΔE_f (raw) (eV per atom): -0.070



Compound: Mg3N2
Source: the Alexandria database
Functional: GGA-PBE
Structure: optimized geometry

abc: 6.920 6.920 8.153
angles: 100.45 100.45 27.63
Positions (direct):
1 Mg 0.000 0.000 0.000
2 Mg 0.036 0.036 0.665
3 Mg 0.290 0.290 0.378
4 Mg 0.328 0.328 0.031
5 Mg 0.378 0.378 0.719
6 Mg 0.622 0.622 0.281
7 Mg 0.672 0.672 0.969
8 Mg 0.710 0.710 0.622
9 Mg 0.964 0.964 0.335
10 N 0.136 0.136 0.487
11 N 0.190 0.190 0.138
12 N 0.468 0.468 0.181
13 N 0.532 0.532 0.819
14 N 0.810 0.810 0.862
15 N 0.864 0.864 0.513

Results
Calculated volume (Å³/atom): 11.857
Excess energy over the best structure of this formula in the dataset (meV per atom): 87.4
ΔE_f (raw) (eV per atom): -0.672



Compound: Mg2N
Source: the Alexandria database
Functional: GGA-PBE
Structure: optimized geometry

abc: 3.226 3.226 5.552
angles: 106.72 106.72 59.82
Positions (direct):
1 Mg 0.233 0.233 0.200
2 Mg 0.767 0.767 0.800
3 N 0.500 0.500 0.000

Results
Calculated volume (Å³/atom): 15.704
Excess energy over the best structure of this formula in the dataset (meV per atom): 32.1
ΔE_f (raw) (eV per atom): -0.494



Compound: Mg2N
Source: the Alexandria database
Functional: GGA-PBE
Structure: optimized geometry

abc: 7.354 7.354 4.084
angles: 90.00 90.00 154.31
Positions (direct):
1 Mg 0.085 0.915 0.750
2 Mg 0.283 0.717 0.750
3 Mg 0.717 0.283 0.250
4 Mg 0.915 0.085 0.250
5 N 0.319 0.681 0.250
6 N 0.681 0.319 0.750

Results
Calculated volume (Å³/atom): 15.957
Excess energy over the best structure of this formula in the dataset (meV per atom): 0.0
ΔE_f (raw) (eV per atom): -0.526



Compound: MgN
Source: the Alexandria database
Functional: GGA-PBE
Structure: optimized geometry

abc: 6.422 6.422 6.422
angles: 154.10 154.10 36.96
Positions (direct):
1 Mg 0.138 0.138 0.000
2 Mg 0.862 0.862 0.000
3 N 0.446 0.446 0.000
4 N 0.554 0.554 0.000

Results
Calculated volume (Å³/atom): 12.618
ΔE_f (raw) (eV per atom): -0.073



Compound: MgN
Source: the Alexandria database
Functional: GGA-PBE
Structure: optimized geometry

abc: 9.740 3.488 4.276
angles: 90.00 90.00 90.00
Positions (direct):
1 Mg 0.000 0.137 0.000
2 Mg 0.194 0.731 0.503
3 Mg 0.306 0.269 0.003
4 Mg 0.500 0.863 0.500
5 Mg 0.694 0.269 0.003
6 Mg 0.806 0.731 0.503
7 N 0.000 0.623 0.748
8 N 0.173 0.765 0.008
9 N 0.327 0.235 0.508
10 N 0.500 0.377 0.248
11 N 0.673 0.235 0.508
12 N 0.827 0.765 0.008

Results
Calculated volume (Å³/atom): 12.106
ΔE_f (raw) (eV per atom): 0.021



Compound: MgN
Source: the Alexandria database
Functional: GGA-PBE
Structure: optimized geometry

abc: 5.681 5.681 5.681
angles: 109.47 109.47 109.47
Positions (direct):
1 Mg 0.000 0.000 0.321
2 Mg 0.000 0.321 0.000
3 Mg 0.321 0.000 0.000
4 Mg 0.679 0.679 0.679
5 N 0.000 0.000 0.677
6 N 0.000 0.677 0.000
7 N 0.323 0.323 0.323
8 N 0.677 0.000 0.000

Results
Calculated volume (Å³/atom): 17.642
ΔE_f (raw) (eV per atom): 0.203



Compound: MgN
Source: the Alexandria database
Functional: GGA-PBE
Structure: optimized geometry

abc: 5.884 5.884 5.884
angles: 90.00 90.00 90.00
Positions (direct):
1 Mg 0.000 0.250 0.500
2 Mg 0.000 0.750 0.500
3 Mg 0.250 0.500 0.000
4 Mg 0.500 0.000 0.250
5 Mg 0.500 0.000 0.750
6 Mg 0.750 0.500 0.000
7 N 0.000 0.500 0.250
8 N 0.000 0.500 0.750
9 N 0.250 0.000 0.500
10 N 0.500 0.250 0.000
11 N 0.500 0.750 0.000
12 N 0.750 0.000 0.500

Results
Calculated volume (Å³/atom): 16.980
ΔE_f (raw) (eV per atom): 0.158



Compound: MgN
Source: the Alexandria database
Functional: GGA-PBE
Structure: optimized geometry

abc: 3.219 3.219 4.914
angles: 110.38 110.38 72.29
Positions (direct):
1 Mg 0.000 0.000 0.000
2 Mg 0.626 0.374 0.500
3 N 0.279 0.022 0.677
4 N 0.978 0.721 0.323

Results
Calculated volume (Å³/atom): 10.941
ΔE_f (raw) (eV per atom): -0.076



Compound: Mg3N2
Source: the Alexandria database
Functional: GGA-PBE
Structure: optimized geometry

abc: 8.680 8.680 8.680
angles: 109.47 109.47 109.47
Positions (direct):
1 Mg 0.007 0.465 0.737
2 Mg 0.035 0.042 0.271
3 Mg 0.042 0.271 0.035
4 Mg 0.229 0.270 0.763
5 Mg 0.230 0.458 0.493
6 Mg 0.237 0.771 0.730
7 Mg 0.263 0.993 0.535
8 Mg 0.270 0.763 0.229
9 Mg 0.271 0.035 0.042
10 Mg 0.458 0.493 0.230
11 Mg 0.465 0.737 0.007
12 Mg 0.493 0.230 0.458
13 Mg 0.507 0.770 0.542
14 Mg 0.535 0.263 0.993
15 Mg 0.542 0.507 0.770
16 Mg 0.729 0.965 0.958
17 Mg 0.730 0.237 0.771
18 Mg 0.737 0.007 0.465
19 Mg 0.763 0.229 0.270
20 Mg 0.770 0.542 0.507
21 Mg 0.771 0.730 0.237
22 Mg 0.958 0.729 0.965
23 Mg 0.965 0.958 0.729
24 Mg 0.993 0.535 0.263
25 N 0.000 0.000 0.000
26 N 0.000 0.500 0.500
27 N 0.031 0.781 0.250
28 N 0.219 0.750 0.969
29 N 0.250 0.031 0.781
30 N 0.250 0.531 0.281
31 N 0.281 0.250 0.531
32 N 0.469 0.719 0.750
33 N 0.500 0.000 0.500
34 N 0.500 0.500 0.000
35 N 0.531 0.281 0.250
36 N 0.719 0.750 0.469
37 N 0.750 0.469 0.719
38 N 0.750 0.969 0.219
39 N 0.781 0.250 0.031
40 N 0.969 0.219 0.750

Results
Calculated volume (Å³/atom): 12.584
Excess energy over the best structure of this formula in the dataset (meV per atom): 0.0
ΔE_f (raw) (eV per atom): -0.759



Compound: MgN
Source: the Alexandria database
Functional: GGA-PBE
Structure: optimized geometry

abc: 3.978 6.084 7.504
angles: 90.00 90.00 90.00
Positions (direct):
1 Mg 0.115 0.096 0.021
2 Mg 0.163 0.651 0.806
3 Mg 0.337 0.349 0.306
4 Mg 0.385 0.904 0.521
5 Mg 0.615 0.404 0.979
6 Mg 0.663 0.849 0.194
7 Mg 0.837 0.151 0.694
8 Mg 0.885 0.596 0.479
9 N 0.114 0.457 0.048
10 N 0.146 0.009 0.287
11 N 0.354 0.991 0.787
12 N 0.386 0.543 0.548
13 N 0.614 0.043 0.952
14 N 0.646 0.491 0.713
15 N 0.854 0.509 0.213
16 N 0.886 0.957 0.452

Results
Calculated volume (Å³/atom): 11.352
ΔE_f (raw) (eV per atom): -0.112



Compound: MgN
Source: the Alexandria database
Functional: GGA-PBE
Structure: optimized geometry

abc: 8.062 8.062 3.559
angles: 90.00 90.00 120.00
Positions (direct):
1 Mg 0.097 0.680 0.250
2 Mg 0.320 0.417 0.250
3 Mg 0.417 0.097 0.750
4 Mg 0.583 0.903 0.250
5 Mg 0.680 0.583 0.750
6 Mg 0.903 0.320 0.750
7 N 0.058 0.400 0.250
8 N 0.342 0.942 0.250
9 N 0.400 0.342 0.750
10 N 0.600 0.658 0.250
11 N 0.658 0.058 0.750
12 N 0.942 0.600 0.750

Results
Calculated volume (Å³/atom): 16.692
ΔE_f (raw) (eV per atom): 0.138



Compound: Mg3N2
Source: the Alexandria database
Functional: GGA-PBE
Structure: optimized geometry

abc: 5.733 5.733 5.733
angles: 56.63 56.63 56.63
Positions (direct):
1 Mg 0.050 0.750 0.450
2 Mg 0.250 0.550 0.950
3 Mg 0.450 0.050 0.750
4 Mg 0.550 0.950 0.250
5 Mg 0.750 0.450 0.050
6 Mg 0.950 0.250 0.550
7 N 0.145 0.145 0.145
8 N 0.355 0.355 0.355
9 N 0.645 0.645 0.645
10 N 0.855 0.855 0.855

Results
Calculated volume (Å³/atom): 12.285
Excess energy over the best structure of this formula in the dataset (meV per atom): 46.8
ΔE_f (raw) (eV per atom): -0.712



Compound: MgN
Source: the Alexandria database
Functional: GGA-PBE
Structure: optimized geometry

abc: 3.317 3.317 4.397
angles: 90.00 90.00 120.00
Positions (direct):
1 Mg 0.000 0.000 0.000
2 Mg 0.333 0.667 0.500
3 N 0.667 0.333 0.297
4 N 0.667 0.333 0.703

Results
Calculated volume (Å³/atom): 10.472
ΔE_f (raw) (eV per atom): -0.263



Compound: MgN
Source: the Alexandria database
Functional: GGA-PBE
Structure: optimized geometry

abc: 3.604 3.604 4.186
angles: 107.20 107.20 63.26
Positions (direct):
1 Mg 0.219 0.219 0.241
2 Mg 0.781 0.781 0.759
3 N 0.112 0.112 0.682
4 N 0.888 0.888 0.318

Results
Calculated volume (Å³/atom): 11.383
ΔE_f (raw) (eV per atom): -0.289



Compound: MgN
Source: the Alexandria database
Functional: GGA-PBE
Structure: optimized geometry

abc: 4.494 8.011 3.854
angles: 90.00 90.00 90.00
Positions (direct):
1 Mg 0.250 0.097 0.032
2 Mg 0.250 0.403 0.032
3 Mg 0.250 0.750 0.481
4 Mg 0.750 0.250 0.519
5 Mg 0.750 0.597 0.968
6 Mg 0.750 0.903 0.968
7 N 0.250 0.250 0.525
8 N 0.250 0.659 0.980
9 N 0.250 0.841 0.980
10 N 0.750 0.159 0.020
11 N 0.750 0.341 0.020
12 N 0.750 0.750 0.475

Results
Calculated volume (Å³/atom): 11.564
ΔE_f (raw) (eV per atom): -0.104



Compound: MgN
Source: the Alexandria database
Functional: GGA-PBE
Structure: optimized geometry

abc: 7.291 7.291 4.266
angles: 90.00 90.00 90.00
Positions (direct):
1 Mg 0.125 0.375 0.000
2 Mg 0.197 0.697 0.500
3 Mg 0.303 0.197 0.500
4 Mg 0.375 0.875 0.000
5 Mg 0.625 0.125 0.000
6 Mg 0.697 0.803 0.500
7 Mg 0.803 0.303 0.500
8 Mg 0.875 0.625 0.000
9 N 0.065 0.435 0.500
10 N 0.178 0.678 0.000
11 N 0.322 0.178 0.000
12 N 0.435 0.935 0.500
13 N 0.565 0.065 0.500
14 N 0.678 0.822 0.000
15 N 0.822 0.322 0.000
16 N 0.935 0.565 0.500

Results
Calculated volume (Å³/atom): 14.171
ΔE_f (raw) (eV per atom): -0.106